This record from Alexandria via LeMat-Bulk describes a relaxed SmDyHo14 crystal. The functional is GGA-PBE.

* energy of formation from the pure elements: 0.08 eV per formula unit
* energy: -4.583 eV per atom
* volume: 31.1 Å³ per atom
* SG: Amm2, No. 38

a = 11.405 Å, b = 7.093 Å, c = 7.093 Å
α = 60.03°, β = 90.00°, γ = 90.00°
Atoms (fractional coordinates):
Sm  0.000  0.000  0.000
Dy  0.000  0.500  0.500
Ho  0.000  0.000  0.500
Ho  0.000  0.500  0.000
Ho  0.250  0.667  0.667
Ho  0.251  0.167  0.167
Ho  0.251  0.167  0.667
Ho  0.251  0.667  0.167
Ho  0.500  0.334  0.334
Ho  0.500  0.334  0.834
Ho  0.500  0.834  0.334
Ho  0.500  0.834  0.834
Ho  0.749  0.167  0.167
Ho  0.749  0.167  0.667
Ho  0.749  0.667  0.167
Ho  0.750  0.667  0.667